Entry 1:
Computed, not measured: crystalline YCu2 at its relaxed geometry at the PBE-GGA level of DFT.

```
YCu2
1.0
-0.801 2.275 -6.003
3.077 -5.173 -2.371
-5.634 -3.149 -0.441
Y Cu
4 8
Cartesian
0.000 0.000 0.000
1.138 -1.449 -4.187
-3.218 -0.437 -3.222
-1.278 -4.161 -1.406
-1.332 -2.399 -3.496
-2.026 -3.649 -5.319
-3.800 -0.396 -5.894
0.442 -5.652 -2.921
1.693 -3.591 -5.794
-5.051 -2.456 -3.022
-3.277 -5.710 -2.447
-0.080 -0.338 -6.368
```

The value obtained for the total energy is -4.4159 eV per atom. As for the magnetization: 0.00 μB/cell. The density of states at the Fermi level is 7.81 states/eV per cell. The space group is Pa-3.


Entry 2:
Computed, not measured: crystalline TbEr6 at its relaxed geometry at the PBE-GGA level of DFT.

```
TbEr6
1.0
-3.662 0.596 5.256
-5.204 -1.551 -3.450
1.597 -10.480 2.302
Tb Er
2 12
Cartesian
-1.831 0.298 2.628
-2.602 -0.775 -1.725
-4.208 -1.955 1.228
0.225 -1.478 0.325
1.372 -9.003 1.977
-3.061 -9.480 2.880
-5.945 -4.339 2.899
-4.963 -4.890 -0.292
-2.746 -3.661 3.766
-1.763 -4.212 0.576
-5.757 -7.573 2.112
-3.077 -7.618 0.047
-3.752 -6.700 4.694
-1.072 -6.746 2.629
```

The value obtained for the total energy is -4.3021 eV per atom. As for the magnetization: 0.03 μB/cell. The density of states at the Fermi level is 20.62 states/eV per cell. The space group is P4/nbm.


Entry 3:
Computed, not measured: crystalline Cs2RbIBr4 at its relaxed geometry at the PBE-GGA level of DFT.

```
Cs2RbIBr4
1.0
-9.990 0.423 3.165
3.613 -7.342 6.560
4.750 8.534 0.488
Cs Rb I Br
4 2 2 8
Cartesian
-4.995 0.211 1.583
-2.620 4.479 1.827
2.375 4.267 0.244
-3.188 -3.460 4.862
1.807 -3.671 3.280
-5.808 1.019 6.689
-0.813 0.807 5.106
-5.240 8.957 3.653
4.541 3.389 5.992
-4.685 3.002 4.242
3.058 -1.387 5.971
-6.168 -1.774 4.221
-5.117 -5.328 7.871
-2.233 -0.692 6.920
0.607 2.307 3.292
3.490 6.943 2.342
```

As for the uncorrected formation energy: -1.31 eV/atom. The value obtained for the total energy is -2.6729 eV per atom. As for the magnetization: 0.00 μB/cell. The density of states at the Fermi level is 0.00 states/eV per cell. The space group is C2/c.


Entry 4:
Computed, not measured: crystalline Li4ZrO4 at its relaxed geometry at the PBE-GGA level of DFT.

```
Li4ZrO4
1.0
-3.345 13.000 7.013
-5.122 -0.426 -1.653
-3.315 -2.638 3.308
Li Zr O
16 4 16
Cartesian
-4.941 9.633 5.375
-2.391 -0.663 0.410
-2.225 2.007 2.645
-3.598 3.938 3.677
-7.286 8.578 4.094
-6.559 5.368 2.952
-4.939 2.390 2.141
-5.235 0.134 0.914
-6.547 9.802 7.755
-6.842 7.546 6.528
-5.223 4.567 5.716
-4.496 1.357 4.574
-8.184 5.998 4.991
-9.557 7.929 6.023
-9.391 10.599 8.259
-6.841 0.303 3.294
-4.661 7.189 4.094
-8.222 10.860 5.363
-3.560 -0.924 3.305
-7.120 2.747 4.574
-8.546 6.417 6.832
-3.105 5.942 3.463
-6.338 8.002 8.399
-4.075 -0.457 -0.701
-3.878 7.926 5.791
-6.233 6.261 4.887
-7.075 -0.563 0.784
-6.889 9.458 5.907
-4.893 0.477 2.762
-4.707 10.499 7.885
-5.549 3.674 3.781
-7.903 2.010 2.877
-7.707 10.393 9.369
-5.444 1.933 0.270
-8.676 3.994 5.206
-3.236 3.519 1.837
```

As for the uncorrected formation energy: -2.35 eV/atom. The value obtained for the total energy is -6.3503 eV per atom. As for the magnetization: 0.00 μB/cell. The density of states at the Fermi level is 0.00 states/eV per cell. The space group is P2_1/c.


Question: What is the density of states at the Fermi level in the second record?
Answer: 20.62 states/eV per cell